Entry 1:
A relaxed structure of Li2Tm2USe6. Source: Alexandria via LeMat-Bulk, functional PBE.

The raw total energy is -5.603 eV per atom.

It has space group C2/m (No. 12), with a = 7.029 Å, b = 12.181 Å, c = 6.896 Å, α = 90.00°, β = 109.76° and γ = 90.00°. The distinct sites, in fractional coordinates, are Li at (0.000, 0.169, 0.000), Tm at (0.000, 0.334, 0.500), U at (0.000, 0.000, 0.500), Se at (0.246, 0.169, 0.747) and Se at (0.248, 0.000, 0.253).

Entry 2:
A relaxed structure of KAsP2Cl. Source: Alexandria via LeMat-Bulk, functional PBE.

The energy relative to the lowest polymorph listed for this composition is 0.0 meV per atom.

It has space group P4/mmm (No. 123), with a = 4.626 Å, b = 4.626 Å, c = 7.015 Å, α = 90.00°, β = 90.00° and γ = 90.00°. The distinct sites, in fractional coordinates, are K at (0.000, 0.000, 0.000), As at (0.500, 0.500, 0.500), P at (0.000, 0.500, 0.500) and Cl at (0.500, 0.500, 0.000).

Entry 3:
A relaxed structure of PrNd3H. Source: Alexandria via LeMat-Bulk, functional PBE.

The raw total energy is -4.663 eV per atom.

It has space group Pm-3m (No. 221), with a = 5.195 Å, b = 5.195 Å, c = 5.195 Å, α = 90.00°, β = 90.00° and γ = 90.00°. The distinct sites, in fractional coordinates, are Pr at (0.000, 0.000, 0.000), Nd at (0.000, 0.500, 0.500) and H at (0.500, 0.500, 0.500).

Entry 4:
A relaxed structure of CaTb2Pt. Source: Alexandria via LeMat-Bulk, functional PBE.

The energy relative to the lowest polymorph listed for this composition is 7.2 meV per atom. The calculation puts the energy of formation at -0.560 eV per atom.

It has space group P4/mmm (No. 123), with a = 3.557 Å, b = 3.557 Å, c = 9.398 Å, α = 90.00°, β = 90.00° and γ = 90.00°. The distinct sites, in fractional coordinates, are Ca at (0.000, 0.000, 0.000), Tb at (0.500, 0.500, 0.325) and Pt at (0.000, 0.000, 0.500).

Repeat the first record exactly.
A relaxed structure of Li2Tm2USe6. Source: Alexandria via LeMat-Bulk, functional PBE.

The raw total energy is -5.603 eV per atom.

It has space group C2/m (No. 12), with a = 7.029 Å, b = 12.181 Å, c = 6.896 Å, α = 90.00°, β = 109.76° and γ = 90.00°. The distinct sites, in fractional coordinates, are Li at (0.000, 0.169, 0.000), Tm at (0.000, 0.334, 0.500), U at (0.000, 0.000, 0.500), Se at (0.246, 0.169, 0.747) and Se at (0.248, 0.000, 0.253).

Which formula does entry 3 have?
PrNd3H

Which formula does entry 1 have?
Li2Tm2USe6